NaCeInAu | GGA-PBE | optimized geometry

Summary:
Formation energy = -0.309 eV/atom
Calculated volume = 100.3 Å³/f.u.

Unit cell a=7.375 b=7.375 c=7.375 alpha=90.00 beta=90.00 gamma=90.00
Atoms (fractional coordinates):
Na1 0.000 0.000 0.000
Na2 0.000 0.500 0.500
Na3 0.500 0.000 0.500
Na4 0.500 0.500 0.000
Ce1 0.000 0.000 0.500
Ce2 0.000 0.500 0.000
Ce3 0.500 0.000 0.000
Ce4 0.500 0.500 0.500
In1 0.250 0.250 0.750
In2 0.250 0.750 0.250
In3 0.750 0.250 0.250
In4 0.750 0.750 0.750
Au1 0.250 0.250 0.250
Au2 0.250 0.750 0.750
Au3 0.750 0.250 0.750
Au4 0.750 0.750 0.250

***

PmHgBi2 | GGA-PBE | optimized geometry

Summary:
Energy above the most stable polymorph in this dataset = 0.00 eV per formula unit
Formation energy = -0.461 eV/atom
Calculated volume = 116.5 Å³/f.u.

Unit cell a=4.718 b=4.814 c=10.258 alpha=90.00 beta=90.00 gamma=90.00
Atoms (fractional coordinates):
Pm1 0.000 0.000 0.000
Pm2 0.500 0.500 0.500
Hg1 0.000 0.000 0.500
Hg2 0.500 0.500 0.000
Bi1 0.000 0.500 0.251
Bi2 0.000 0.500 0.749
Bi3 0.500 0.000 0.249
Bi4 0.500 0.000 0.751

***

RbGeSb2I | GGA-PBE | optimized geometry

Summary:
Energy above the most stable polymorph in this dataset = 0.00 eV per formula unit
Calculated volume = 200.4 Å³/f.u.
ΔE_f (raw) = 0.015 eV per atom

Unit cell a=5.399 b=5.399 c=6.876 alpha=90.00 beta=90.00 gamma=90.00
Atoms (fractional coordinates):
Rb1 0.000 0.000 0.000
Ge1 0.500 0.500 0.500
Sb1 0.000 0.500 0.500
Sb2 0.500 0.000 0.500
I1 0.500 0.500 0.000

***

DyTmCl | GGA-PBE | optimized geometry

Summary:
Calculated volume = 79.3 Å³/f.u.
ΔE_f (raw) = -0.891 eV per atom

Unit cell a=3.635 b=3.635 c=6.935 alpha=90.00 beta=90.00 gamma=120.00
Atoms (fractional coordinates):
Dy1 0.000 0.000 0.000
Tm1 0.667 0.333 0.378
Cl1 0.333 0.667 0.686

***

CeNdSnPt | GGA-PBE | optimized geometry

Summary:
Formation energy = -0.680 eV/atom
Calculated volume = 102.7 Å³/f.u.

Unit cell a=4.246 b=4.246 c=11.390 alpha=90.00 beta=90.00 gamma=90.00
Atoms (fractional coordinates):
Ce1 0.250 0.750 0.000
Ce2 0.750 0.250 0.000
Nd1 0.250 0.250 0.274
Nd2 0.750 0.750 0.726
Sn1 0.250 0.250 0.556
Sn2 0.750 0.750 0.444
Pt1 0.250 0.250 0.801
Pt2 0.750 0.750 0.199

***

MgScRu2N | GGA-PBE | optimized geometry

Summary:
Calculated volume = 100.3 Å³/f.u.
ΔE_f (raw) = 2.277 eV per atom

Unit cell a=4.429 b=4.429 c=5.112 alpha=90.00 beta=90.00 gamma=90.00
Atoms (fractional coordinates):
Mg1 0.000 0.000 0.000
Sc1 0.000 0.000 0.500
Ru1 0.000 0.500 0.000
Ru2 0.500 0.000 0.000
N1 0.500 0.500 0.500

***

Asked for uncorrected energy across the records above, the calculation gives -58.02 -29.32 -15.30 -13.59 -46.93 -23.42 eV for the cell shown in order.